No. 1
First-principles (PBE) data for SbC4 after structural relaxation, as listed in Alexandria.

Computed properties:
- Volume: 13.14 A^3/atom
- Raw total energy: -4.411 eV/atom
- N(E_F): 2.82 states/eV/f.u.
- Formation energy from raw total energies: 3793 meV per atom

The structure in extended XYZ format:
```
5
Lattice="-2.5417 2.5417 2.5417 2.5417 -2.5417 2.5417 2.5417 2.5417 -2.5417" Properties=species:S:1:pos:R:3 pbc="T T T"
Sb 0.0000 0.0000 0.0000
C 1.2709 -1.2709 1.2709
C 1.2709 1.2709 1.2709
C -1.2709 1.2709 1.2709
C 1.2709 1.2709 -1.2709
```

No. 2
First-principles (PBE) data for Cs4Ti3S14 after structural relaxation, as listed in Alexandria.

Computed properties:
- Volume: 28.90 A^3/atom
- Raw total energy: -5.073 eV/atom
- Formation energy from raw total energies: -1031 meV per atom

The structure in extended XYZ format:
```
42
Lattice="-0.9474 8.7046 -7.7804 -8.5803 5.0589 -6.1634 -4.6111 12.2169 5.7772" Properties=species:S:1:pos:R:3 pbc="T T T"
Cs -7.4023 12.9823 2.6301
Cs -11.8055 17.7867 -7.3228
Cs -6.7366 12.9981 -10.7968
Cs -2.3334 8.1937 -0.8439
Cs -8.9195 13.0023 -1.9428
Cs -11.1349 17.3624 -2.5706
Cs -5.2194 12.9781 -6.2239
Cs -3.0040 8.6180 -5.5961
Ti -7.0878 17.2412 -6.3540
Ti -5.4399 16.7183 0.2461
Ti -7.0510 8.7392 -1.8127
Ti -8.6990 9.2620 -8.4128
Ti -6.2064 17.0072 -3.0661
Ti -7.9325 8.9732 -5.1006
S -6.5971 19.4367 -2.9670
S -4.6395 15.1395 -3.4144
S -7.5418 6.5437 -5.1997
S -9.4994 10.8409 -4.7523
S -7.3760 15.3843 -4.7039
S -7.5470 17.4312 -0.8965
S -6.7629 10.5961 -3.4628
S -6.5919 8.5492 -7.2702
S -3.9386 8.8012 2.5105
S -12.9250 23.0875 -7.6998
S -10.2003 17.1792 -10.6772
S -1.2139 2.8929 -0.4669
S -7.9819 18.3438 -4.0663
S -5.8845 14.9763 -1.7579
S -6.1570 7.6365 -4.1004
S -8.2544 11.0041 -6.4088
S -8.5114 18.7425 -7.7752
S -4.6533 14.9128 1.8022
S -5.6275 7.2379 -0.3915
S -9.4856 11.0676 -9.9689
S -11.7339 21.7227 -6.6907
S -4.6183 10.4102 1.3931
S -2.4050 4.2577 -1.4760
S -9.5206 15.5702 -9.5598
S -7.7148 15.7390 0.2983
S -9.1393 16.1541 -5.4897
S -6.4241 10.2414 -8.4650
S -4.9996 9.8262 -2.6770
```